[1]
A relaxed structure of La2SeCl. Source: Alexandria, functional GGA-PBE.

Results
Total magnetic moment   0.04 μB/f.u.
E_form (uncorrected)   -0.675 eV per atom
Calculated total energy   -4.472 eV per atom
Relative energy among the computed polymorphs   1102 meV/atom

abc: 5.274 5.274 5.274
angles: 60.00 60.00 60.00
Positions (direct):
La  0.000  0.000  0.000
Se  0.750  0.750  0.750
La  0.250  0.250  0.250
Cl  0.500  0.500  0.500

---

[2]
A relaxed structure of AgAs2. Source: Alexandria, functional GGA-PBE.

Results
Energy of formation   0.233 eV per atom
Total magnetic moment   0.00 μB/f.u.
Calculated total energy   -3.817 eV per atom

abc: 6.806 6.806 7.939
angles: 71.01 71.01 23.79
Positions (direct):
As  0.678  0.678  0.946
As  0.322  0.322  0.054
Ag  0.710  0.710  0.355
Ag  0.290  0.290  0.645
As  0.947  0.947  0.399
As  0.053  0.053  0.601

---

[3]
A relaxed structure of TbErTh14. Source: Alexandria, functional GGA-PBE.

Results
Energy of formation   0.032 eV per atom
Total magnetic moment   0.00 μB/f.u.
Calculated total energy   -7.035 eV per atom

abc: 7.171 7.171 11.575
angles: 90.00 90.00 120.03
Positions (direct):
Th  0.209  0.292  0.000
Th  0.544  0.957  0.500
Th  0.875  0.625  0.750
Er  0.540  0.460  0.500
Th  0.708  0.292  0.000
Th  0.708  0.791  0.000
Th  0.043  0.456  0.500
Th  0.375  0.625  0.250
Th  0.875  0.125  0.751
Th  0.875  0.625  0.250
Th  0.875  0.125  0.249
Th  0.208  0.792  0.000
Th  0.375  0.625  0.750
Th  0.375  0.125  0.750
Th  0.375  0.125  0.250
Tb  0.040  0.960  0.500

---

[4]
A relaxed structure of Ac2Zn3GaPd4. Source: Alexandria, functional GGA-PBE.

Results
Energy of formation   -0.682 eV per atom
Total magnetic moment   0.00 μB/f.u.
Calculated total energy   -4.266 eV per atom

abc: 4.511 4.511 10.230
angles: 90.00 90.00 90.00
Positions (direct):
Ga  0.500  0.500  0.500
Pd  0.000  0.000  0.000
Zn  0.000  0.000  0.500
Zn  0.000  0.500  0.123
Ac  0.000  0.500  0.760
Pd  0.000  0.500  0.374
Ac  0.500  0.000  0.240
Zn  0.500  0.000  0.877
Pd  0.500  0.000  0.626
Pd  0.500  0.500  0.000

---

[5]
A relaxed structure of SrLiIn4Ag2. Source: Alexandria, functional GGA-PBE.

Results
Energy of formation   -0.228 eV per atom
Total magnetic moment   0.00 μB/f.u.
Calculated total energy   -2.760 eV per atom

abc: 4.760 4.760 10.447
angles: 76.83 76.83 60.00
Positions (direct):
Sr  0.000  0.000  0.000
In  0.127  0.127  0.619
In  0.599  0.599  0.202
Ag  0.228  0.228  0.316
Ag  0.772  0.772  0.684
In  0.873  0.873  0.381
In  0.401  0.401  0.798
Li  0.500  0.500  0.500

---

[6]
A relaxed structure of ThMgGaIr. Source: Alexandria, functional GGA-PBE.

Results
Energy of formation   -0.418 eV per atom
Total magnetic moment   0.00 μB/f.u.
Calculated total energy   -5.644 eV per atom
Relative energy among the computed polymorphs   55 meV/atom

abc: 4.052 4.052 11.138
angles: 90.00 90.00 90.00
Positions (direct):
Mg  0.000  0.000  0.500
Ir  0.000  0.500  0.105
Ga  0.500  0.000  0.672
Ga  0.000  0.500  0.328
Th  0.000  0.500  0.835
Ir  0.500  0.000  0.895
Mg  0.500  0.500  0.500
Th  0.500  0.000  0.165

---

[7]
A relaxed structure of BeSb2Br. Source: Alexandria, functional GGA-PBE.

Results
Total magnetic moment   0.00 μB/f.u.
E_form (uncorrected)   0.598 eV per atom
Calculated total energy   -2.813 eV per atom
Relative energy among the computed polymorphs   671 meV/atom

abc: 5.050 5.050 5.050
angles: 60.00 60.00 60.00
Positions (direct):
Br  0.500  0.500  0.500
Sb  0.250  0.250  0.250
Be  0.000  0.000  0.000
Sb  0.750  0.750  0.750

---

[8]
A relaxed structure of Nb6InS8. Source: Alexandria, functional GGA-PBE.

Results
Total magnetic moment   0.00 μB/f.u.
E_form (uncorrected)   -0.864 eV per atom
Calculated total energy   -7.276 eV per atom

abc: 6.793 6.793 6.793
angles: 89.83 89.83 89.83
Positions (direct):
Nb  0.794  0.593  0.442
S  0.732  0.398  0.132
Nb  0.206  0.407  0.558
Nb  0.593  0.442  0.794
S  0.602  0.868  0.268
S  0.132  0.732  0.398
Nb  0.407  0.558  0.206
S  0.762  0.762  0.762
Nb  0.442  0.794  0.593
Nb  0.558  0.206  0.407
S  0.868  0.268  0.602
S  0.238  0.238  0.238
In  0.000  0.000  0.000
S  0.268  0.602  0.868
S  0.398  0.132  0.732

---

[9]
A relaxed structure of K2PuAlO4. Source: Alexandria, functional GGA-PBE.

Results
Total magnetic moment   5.00 μB/f.u.
E_form (uncorrected)   -2.347 eV per atom
Calculated total energy   -7.359 eV per atom

abc: 6.159 6.569 7.236
angles: 90.00 90.00 90.00
Last column: magnetic moment on the atom in μB.
Positions (direct):
K  0.000  0.729  0.747  0.01
Pu  0.500  0.803  0.000  4.83
O  0.234  0.013  0.000  -0.04
O  0.999  0.318  0.212  -0.05
K  0.000  0.729  0.253  0.01
O  0.499  0.682  0.712  -0.05
O  0.267  0.989  0.500  -0.04
O  0.734  0.987  0.500  -0.04
Al  0.000  0.176  0.000  0.00
O  0.499  0.682  0.288  -0.05
K  0.500  0.271  0.247  0.01
Al  0.500  0.824  0.500  0.00
K  0.500  0.271  0.753  0.01
Pu  0.000  0.197  0.500  4.83
O  0.999  0.318  0.788  -0.05
O  0.767  0.011  0.000  -0.04

---

[10]
A relaxed structure of RbSmH. Source: Alexandria, functional GGA-PBE.

Results
Total magnetic moment   0.03 μB/f.u.
Calculated total energy   -2.862 eV per atom

abc: 3.712 3.712 14.527
angles: 90.00 90.00 120.00
Positions (direct):
H  0.613  0.226  0.000
H  0.276  0.551  0.500
Rb  0.609  0.218  0.371
Sm  0.280  0.559  0.109
Sm  0.280  0.559  0.891
Rb  0.609  0.218  0.629

---

[11]
A relaxed structure of Rb2Ag2I. Source: Alexandria, functional GGA-PBE.

Results
Total magnetic moment   0.00 μB/f.u.
E_form (uncorrected)   -0.241 eV per atom
Calculated total energy   -2.079 eV per atom
Relative energy among the computed polymorphs   8 meV/atom

abc: 6.850 6.850 6.624
angles: 58.86 58.86 90.00
Positions (direct):
I  0.000  0.000  0.000
Ag  0.649  0.649  0.701
Rb  0.750  0.250  0.500
Rb  0.250  0.750  0.500
Ag  0.351  0.351  0.299

---

[12]
A relaxed structure of HgSbIN2. Source: Alexandria, functional GGA-PBE.

Results
Total magnetic moment   1.13 μB/f.u.
E_form (uncorrected)   1.175 eV per atom
Calculated total energy   -3.350 eV per atom
Relative energy among the computed polymorphs   0 meV/atom

abc: 4.158 4.158 7.352
angles: 90.00 90.00 90.00
Last column: magnetic moment on the atom in μB.
Positions (direct):
N  0.000  0.500  0.000  0.43
Hg  0.500  0.500  0.500  0.00
Sb  0.000  0.000  0.000  -0.05
I  0.000  0.000  0.500  -0.01
N  0.500  0.000  0.000  0.43

---

[13]
A relaxed structure of Mg2AlCl. Source: Alexandria, functional GGA-PBE.

Results
Total magnetic moment   0.00 μB/f.u.
E_form (uncorrected)   -0.417 eV per atom
Calculated total energy   -2.611 eV per atom
Relative energy among the computed polymorphs   81 meV/atom

abc: 5.184 3.190 5.184
angles: 90.01 90.00 90.00
Positions (direct):
Mg  0.500  0.996  0.375
Cl  0.500  0.001  0.875
Al  0.000  0.500  0.375
Mg  0.000  0.004  0.875

---

[14]
A relaxed structure of TbDy2Sb3. Source: Alexandria, functional GGA-PBE.

Results
Total magnetic moment   0.00 μB/f.u.
E_form (uncorrected)   -1.138 eV per atom
Calculated total energy   -5.505 eV per atom

abc: 4.390 6.204 7.603
angles: 114.08 106.78 90.00
Positions (direct):
Dy  0.167  0.167  0.833
Sb  0.500  0.000  0.500
Sb  0.167  0.667  0.835
Dy  0.833  0.833  0.167
Sb  0.833  0.333  0.165
Tb  0.500  0.500  0.500

---

[15]
A relaxed structure of SmTl2AgCl6. Source: Alexandria, functional GGA-PBE.

Results
Total magnetic moment   0.00 μB/f.u.
E_form (uncorrected)   -1.419 eV per atom
Calculated total energy   -3.758 eV per atom

abc: 7.424 7.776 10.440
angles: 90.00 89.31 90.00
Positions (direct):
Ag  0.500  0.000  0.000
Tl  0.479  0.431  0.247
Sm  0.000  0.500  0.000
Cl  0.904  0.523  0.251
Cl  0.404  0.977  0.751
Cl  0.204  0.193  0.453
Cl  0.796  0.807  0.547
Cl  0.296  0.693  0.047
Cl  0.096  0.477  0.749
Tl  0.021  0.931  0.253
Cl  0.691  0.290  0.548
Cl  0.596  0.023  0.249
Cl  0.191  0.210  0.048
Tl  0.979  0.069  0.747
Cl  0.309  0.710  0.452
Cl  0.809  0.790  0.952
Ag  0.000  0.500  0.500
Tl  0.521  0.569  0.753
Cl  0.704  0.307  0.953
Sm  0.500  0.000  0.500

---

[16]
A relaxed structure of Pm4Dy4Ho. Source: Alexandria, functional GGA-PBE.

Results
Energy of formation   0.017 eV per atom
Total magnetic moment   0.00 μB/f.u.
Calculated total energy   -4.649 eV per atom
Relative energy among the computed polymorphs   0 meV/atom

abc: 5.061 8.026 8.026
angles: 84.30 71.62 71.62
Positions (direct):
Pm  0.333  0.000  0.333
Pm  0.667  0.000  0.667
Dy  0.334  0.666  0.666
Ho  0.000  0.000  0.000
Dy  0.000  0.666  0.334
Pm  0.333  0.333  0.000
Pm  0.667  0.667  0.000
Dy  0.666  0.334  0.334
Dy  0.000  0.334  0.666

---

[17]
A relaxed structure of MnTeN2Cl. Source: Alexandria, functional GGA-PBE.

Results
Total magnetic moment   0.00 μB/f.u.
E_form (uncorrected)   0.696 eV per atom
Calculated total energy   -5.466 eV per atom
Relative energy among the computed polymorphs   0 meV/atom

abc: 3.725 3.725 5.507
angles: 90.00 90.00 90.00
Positions (direct):
Te  0.000  0.000  0.500
Cl  0.500  0.500  0.500
N  0.500  0.000  0.000
N  0.000  0.500  0.000
Mn  0.000  0.000  0.000

---

[18]
A relaxed structure of Tb12CeHo7. Source: Alexandria, functional GGA-PBE.

Results
Energy of formation   0.722 eV per atom
Total magnetic moment   1.46 μB/f.u.
Calculated total energy   -3.955 eV per atom
Relative energy among the computed polymorphs   609 meV/atom

abc: 9.811 9.811 9.811
angles: 109.47 109.47 109.47
Last column: magnetic moment on the atom in μB.
Positions (direct):
Tb  0.743  0.257  0.000  0.00
Ho  0.000  0.500  0.500  0.00
Ho  0.000  0.000  0.500  -0.01
Tb  0.000  0.257  0.743  0.00
Tb  0.514  0.257  0.257  0.00
Ho  0.000  0.500  0.000  -0.01
Ho  0.500  0.000  0.500  0.00
Tb  0.257  0.257  0.514  0.00
Tb  0.486  0.743  0.743  0.00
Tb  0.743  0.000  0.257  0.00
Ce  0.000  0.000  0.000  1.19
Ho  0.500  0.500  0.000  0.00
Tb  0.257  0.514  0.257  0.00
Tb  0.743  0.743  0.486  0.00
Tb  0.000  0.743  0.257  0.00
Tb  0.743  0.486  0.743  0.00
Ho  0.500  0.000  0.000  -0.01
Ho  0.500  0.500  0.500  -0.01
Tb  0.257  0.000  0.743  0.00
Tb  0.257  0.743  0.000  0.00

---

[19]
A relaxed structure of TbNd2TmSc. Source: Alexandria, functional GGA-PBE.

Results
Energy of formation   0.215 eV per atom
Total magnetic moment   0.00 μB/f.u.
Calculated total energy   -4.779 eV per atom

abc: 6.493 7.902 6.210
angles: 90.00 90.00 90.00
Positions (direct):
Nd  0.788  0.701  0.750
Sc  0.000  0.000  0.000
Nd  0.212  0.701  0.250
Tm  0.685  0.500  0.250
Nd  0.212  0.299  0.250
Tb  0.413  0.000  0.750
Sc  0.000  0.000  0.500
Tb  0.587  0.000  0.250
Tm  0.315  0.500  0.750
Nd  0.788  0.299  0.750

---

[20]
A relaxed structure of Pm7NdSc2. Source: Alexandria, functional GGA-PBE.

Results
Energy of formation   0.604 eV per atom
Total magnetic moment   0.00 μB/f.u.
Calculated total energy   -4.465 eV per atom
Relative energy among the computed polymorphs   545 meV/atom

abc: 5.645 8.912 8.912
angles: 119.58 90.00 90.00
Positions (direct):
Pm  0.500  0.061  0.305
Pm  0.500  0.305  0.061
Pm  0.000  0.750  0.250
Sc  0.500  0.703  0.297
Nd  0.000  0.000  0.000
Pm  0.500  0.939  0.695
Pm  0.500  0.695  0.939
Pm  0.500  0.500  0.500
Pm  0.000  0.250  0.750
Sc  0.500  0.297  0.703

---

[21]
A relaxed structure of NaHg2F4. Source: Alexandria, functional GGA-PBE.

Results
Total magnetic moment   0.00 μB/f.u.
E_form (uncorrected)   -1.633 eV per atom
Calculated total energy   -2.977 eV per atom

abc: 5.911 5.237 7.956
angles: 90.00 111.20 90.00
Positions (direct):
F  0.555  0.003  0.694
F  0.980  0.250  0.589
F  0.445  0.503  0.306
Hg  0.756  0.750  0.544
Na  0.893  0.250  0.835
F  0.963  0.250  0.135
F  0.037  0.750  0.865
F  0.445  0.997  0.306
F  0.555  0.497  0.694
F  0.020  0.750  0.411
Hg  0.467  0.750  0.907
Hg  0.244  0.250  0.456
Hg  0.533  0.250  0.093
Na  0.107  0.750  0.165

---

[22]
A relaxed structure of K5Cd12Ag2. Source: Alexandria, functional GGA-PBE.

Results
Energy of formation   -0.022 eV per atom
Total magnetic moment   0.00 μB/f.u.
Calculated total energy   -1.188 eV per atom

abc: 7.367 7.964 10.418
angles: 67.53 86.12 90.00
Positions (direct):
Cd  0.913  0.918  0.164
Cd  0.682  0.547  0.906
K  0.958  0.291  0.419
Cd  0.338  0.409  0.801
Cd  0.318  0.453  0.094
Cd  0.087  0.082  0.836
Ag  0.000  0.311  0.000
K  0.042  0.709  0.581
Cd  0.662  0.591  0.199
Cd  0.763  0.318  0.744
K  0.570  0.760  0.480
K  0.500  0.000  0.000
Cd  0.237  0.682  0.256
Cd  0.338  0.790  0.801
Cd  0.662  0.210  0.199
Cd  0.237  0.062  0.256
Cd  0.763  0.938  0.744
K  0.430  0.240  0.520
Ag  0.000  0.689  0.000